Pm2HoThN4: relaxed, PBE.

```
8
Lattice="3.5967 0.0000 0.0000 0.0000 6.1973 0.1130 0.0000 -2.1623 5.8306" Properties=species:S:1:pos:R:3 pbc="T T T"
Pm 1.7984 -1.0811 2.9153
Pm 0.0000 2.0175 2.9718
Ho 0.0000 0.0000 0.0000
Th 1.7984 3.0987 0.0565
N 1.7984 1.0104 1.4179
N 1.7984 3.0246 4.5257
N 0.0000 -0.0848 4.4629
N 0.0000 4.1199 1.4807
```

Summary:
SG: P2/m (10)
Magnetization in μB per formula unit: 0.0
Calculated total energy in eV per atom: -8.422

PmHoTh2N4: relaxed, PBE.

```
8
Lattice="3.6127 0.0000 0.0000 0.0000 6.2607 0.1121 0.0000 -2.1846 5.8126" Properties=species:S:1:pos:R:3 pbc="T T T"
Pm 0.0000 0.0000 0.0000
Ho 1.8063 3.1304 0.0560
Th 1.8063 -1.0923 2.9063
Th 0.0000 2.0381 2.9624
N 1.8063 1.0579 1.5099
N 1.8063 3.0182 4.4148
N 0.0000 -0.0343 4.3905
N 0.0000 4.1104 1.5342
```

Summary:
SG: P2/m (10)
Magnetization in μB per formula unit: 0.0
Calculated total energy in eV per atom: -8.761

Pm2HoTlN: relaxed, PBE.

```
5
Lattice="-1.9060 -2.6841 -3.4893 4.4221 -2.2183 -0.7092 -1.2168 -3.4983 3.3556" Properties=species:S:1:pos:R:3 pbc="T T T"
Pm -0.6084 -1.7492 1.6778
Pm 2.2111 -1.1092 -0.3546
Ho -0.9530 -1.3420 -1.7447
Tl 0.6496 -4.2004 -0.4214
N 0.0000 0.0000 0.0000
```

Summary:
SG: P4/mmm (123)
Magnetization in μB per formula unit: 0.0
Calculated total energy in eV per atom: -5.829

PmYHoN3: relaxed, PBE.

```
12
Lattice="-3.1095 1.5479 -0.3658 -1.3900 -3.8401 -4.4338 -3.0704 -4.4440 7.2941" Properties=species:S:1:pos:R:3 pbc="T T T"
Pm -5.3872 -4.4602 1.9091
Pm -2.1827 -2.2760 0.5854
Y -1.9834 -2.7640 -3.1733
Y -5.5865 -3.9722 5.6677
Ho -2.9492 -3.0315 3.9044
Ho -4.6207 -3.7047 -1.4099
N -3.3396 -4.6989 0.1672
N -2.8621 0.3266 0.7002
N -3.6009 -1.6631 -1.4391
N -4.2303 -2.0373 2.3272
N -3.9689 -5.0731 3.9335
N -4.7077 -7.0628 1.7942
```

Summary:
SG: P2_1/m (11)
Magnetization in μB per formula unit: 0.0
Calculated total energy in eV per atom: -8.219

PmYHo2N4: relaxed, PBE.

```
8
Lattice="3.5000 0.0000 0.0000 0.0000 6.0596 0.1082 0.0000 -2.1184 5.6798" Properties=species:S:1:pos:R:3 pbc="T T T"
Pm 1.7500 3.0298 0.0541
Y 0.0000 0.0000 0.0000
Ho 1.7500 -1.0592 2.8399
Ho 0.0000 1.9706 2.8940
N 1.7500 0.9641 1.4742
N 1.7500 2.9772 4.3138
N 0.0000 -0.0938 4.2430
N 0.0000 4.0350 1.5450
```

Summary:
SG: P2/m (10)
Magnetization in μB per formula unit: 0.0
Calculated total energy in eV per atom: -8.349

PmY2HoN4: relaxed, PBE.

```
8
Lattice="-0.7977 3.0675 1.5019 -5.4030 -2.2203 1.6650 4.0672 -1.0857 4.3776" Properties=species:S:1:pos:R:3 pbc="T T T"
Pm -3.1004 0.4236 1.5835
Y 1.6348 0.9909 2.9397
Y -0.6679 -1.6530 3.0213
Ho 0.0000 0.0000 0.0000
N -0.7065 0.7154 2.2590
N -1.4271 -0.9538 5.2855
N 1.7139 -1.3511 3.6698
N -3.0497 -1.9548 2.3728
```

Summary:
SG: P2/m (10)
Magnetization in μB per formula unit: 0.0
Calculated total energy in eV per atom: -8.572

PmHo2ZrN4: relaxed, PBE.

```
8
Lattice="-2.4063 -1.1098 2.1762 -0.2852 -5.1754 -2.9547 4.0748 -0.4199 4.2915" Properties=species:S:1:pos:R:3 pbc="T T T"
Pm -1.3457 -3.1426 -0.3893
Ho 0.8343 -0.7649 3.2338
Ho 1.8948 -2.7977 0.6684
Zr 0.0000 0.0000 0.0000
N -0.2835 -1.8703 1.4341
N 1.6668 -4.8349 2.0788
N 2.9915 -1.5256 2.5298
N 0.7981 -4.0697 -1.1930
```

Summary:
SG: P2/m (10)
Magnetization in μB per formula unit: 0.0
Calculated total energy in eV per atom: -8.619

PmHo2Zr3N6: relaxed, PBE.

```
12
Lattice="5.8134 0.0026 -0.0004 -2.9030 5.0367 -0.0004 -0.9713 -1.6817 5.5467" Properties=species:S:1:pos:R:3 pbc="T T T"
Pm 0.0000 0.0000 0.0000
Ho 0.0008 3.3596 -0.0004
Ho 2.9095 1.6797 -0.0004
Zr -1.9240 3.3499 2.7729
Zr 3.8631 0.0076 2.7729
Zr 0.9696 1.6788 2.7729
N 2.9317 1.6374 4.0508
N 1.9165 3.3183 1.4994
N -0.9926 1.7201 1.4951
N -0.0469 3.3577 4.0508
N 0.0226 0.0392 4.0465
N 1.9860 -0.0002 1.4951
```

Summary:
SG: C2/m (12)
Magnetization in μB per formula unit: 0.0
Calculated total energy in eV per atom: -9.146

Pm2HoZrN4: relaxed, PBE.

```
8
Lattice="-2.4590 -0.4449 2.3879 -1.0837 -5.4918 -2.1392 4.2342 -0.3486 4.2953" Properties=species:S:1:pos:R:3 pbc="T T T"
Pm 0.8876 -0.3968 3.3416
Pm 1.5752 -2.9202 1.0780
Ho -1.7714 -2.9684 0.1243
Zr 0.0000 0.0000 0.0000
N -0.5259 -1.5838 1.6648
N 1.2173 -4.7015 2.8791
N 2.9934 -1.6174 2.7812
N 0.1570 -4.2231 -0.6252
```

Summary:
SG: P2/m (10)
Magnetization in μB per formula unit: 0.0
Calculated total energy in eV per atom: -8.588

PmHoZr2N4: relaxed, PBE.

```
8
Lattice="-2.9273 0.4865 -1.5906 2.4316 -1.8759 -5.0488 -0.7156 -5.7702 -0.4481" Properties=species:S:1:pos:R:3 pbc="T T T"
Pm 0.8580 -3.8231 -2.7484
Ho -0.2478 -0.6947 -3.3197
Zr -0.7156 -5.7702 -0.4481
Zr -1.8214 -2.6419 -1.0194
N 1.3355 -5.7699 -4.2228
N -2.5468 -1.3898 -2.8648
N 0.2535 -2.5728 -4.8169
N -1.4648 -4.5869 -2.2707
```

Summary:
SG: P2/m (10)
Magnetization in μB per formula unit: 0.0
Calculated total energy in eV per atom: -9.122

PrHoN: relaxed, PBE.

```
3
Lattice="-0.8475 0.4703 -4.2451 -3.9861 -0.8517 -1.5318 -2.5501 3.2556 -1.3634" Properties=species:S:1:pos:R:3 pbc="T T T"
Pr 0.0000 0.0000 0.0000
Ho -3.6918 1.4371 -3.5702
N -1.8459 0.7186 -1.7851
```

Summary:
SG: F-43m (216)
Magnetization in μB per formula unit: 0.0
Calculated total energy in eV per atom: -6.161

PrHo2N: relaxed, PBE.

```
4
Lattice="3.1706 0.0000 0.0000 0.0000 3.1706 0.0000 0.0000 0.0000 8.9757" Properties=species:S:1:pos:R:3 pbc="T T T"
Pr 1.5853 1.5853 4.4878
Ho 0.0000 0.0000 7.5652
Ho 0.0000 0.0000 1.4105
N 1.5853 1.5853 0.0000
```

Summary:
SG: P4/mmm (123)
Magnetization in μB per formula unit: 0.0
Calculated total energy in eV per atom: -5.744